# PBE KI2O, optimized geometry
data_KI2O
_chemical_formula_sum 'K4 I8 O4'
_cell_length_a 7.3255
_cell_length_b 7.3255
_cell_length_c 11.7956
_cell_angle_alpha 90.00
_cell_angle_beta 90.00
_cell_angle_gamma 90.00
_symmetry_space_group_name_H-M 'I -4 2 d'
_symmetry_Int_Tables_number 122
_symmetry_space_group_name_Hall 'I -4 2bw'
loop_
_atom_site_label
_atom_site_type_symbol
_atom_site_fract_x
_atom_site_fract_y
_atom_site_fract_z
K1 K 0.0000 0.0000 0.0000
I1 I 0.0008 0.2500 0.6250
O1 O 0.0000 0.0000 0.5000
# V, Å³/f.u.: 158
# Total magnetic moment, μB per cell: 0.000
# DOS at the Fermi energy, states/eV/cell: 0.10
# Raw total energy, eV per atom: -2.741
# Offset from the most stable computed form, meV/atom: 0
# Formation energy (no corrections), meV/atom: -452